Computed, not measured: a relaxed OsPbNO crystal at the GGA-PBE level of DFT.

Calculated values
Polymorph energy (0 for the lowest one) (meV per atom): 663

```
8
Lattice="3.074 -3.109 0.000 3.074 3.109 0.000 0.000 0.000 6.594" Properties=species:S:1:pos:R:3 pbc="T T T"
Os 3.074 1.555 6.464
Os 3.074 -1.555 0.130
Pb 1.537 0.000 3.297
Pb 4.612 0.000 3.297
N 3.074 1.555 4.665
N 3.074 -1.555 1.929
O 1.537 0.000 0.000
O 4.612 0.000 0.000
```